The following is a PBE+U calculation of an optimized crystal structure of MnBiBr2F, from Alexandria.

Output
As for the space-group type: P4/mmm (123). The raw total energy is -19.9 eV per cell. The magnetization comes out at 0.978 μB per atom.

a b c (Å): 5.893 3.763 5.893
angles (deg): 90.00 90.00 90.00
Fractional coordinates of all 5 atoms:
Bi: 0.500 0.500 0.500
Mn: 0.000 0.500 0.000
Br: 0.000 0.000 0.500
Br: 0.500 0.000 0.000
F: 0.000 0.000 0.000